Record 1
First-principles (GGA-PBE) data for Zr5Be4 after structural relaxation, as listed in Alexandria via LeMat-Bulk.

Cell lengths 7.9799, 7.9799, 5.5380 Å; angles 90.00, 90.00, 120.00 degrees
Closest atoms and distances in Å follow each position.
Fractional positions:
Be: 0.0000 0.0000 0.5000  6 Zr 2.64, 2 Be 2.77
Be: 0.0000 0.6366 0.7500  9 Zr 2.64-2.90
Zr: 0.7179 0.7179 0.7500  7 Be 2.64-2.84
Zr: 0.7179 0.0000 0.2500  7 Be 2.64-2.84
Zr: 0.2821 0.0000 0.7500  7 Be 2.64-2.84
Zr: 0.0000 0.2821 0.7500  7 Be 2.64-2.84
Be: 0.3634 0.3634 0.7500  9 Zr 2.64-2.90
Be: 0.6366 0.6366 0.2500  9 Zr 2.64-2.90
Zr: 0.6667 0.3333 0.5000  2 Zr 2.77, 6 Be 2.90
Be: 0.3634 0.0000 0.2500  9 Zr 2.64-2.90
Zr: 0.0000 0.7179 0.2500  7 Be 2.64-2.84
Be: 0.0000 0.3634 0.2500  9 Zr 2.64-2.90
Be: 0.0000 0.0000 0.0000  6 Zr 2.64, 2 Be 2.77
Be: 0.6366 0.0000 0.7500  9 Zr 2.64-2.90
Zr: 0.2821 0.2821 0.2500  7 Be 2.64-2.84
Zr: 0.6667 0.3333 0.0000  2 Zr 2.77, 6 Be 2.90
Zr: 0.3333 0.6667 0.0000  2 Zr 2.77, 6 Be 2.90
Zr: 0.3333 0.6667 0.5000  2 Zr 2.77, 6 Be 2.90

Formation energy ... 0.001 eV per atom
V ... 305 Å³/cell


Record 2
First-principles (GGA-PBE) data for HgTeBr2 after structural relaxation, as listed in Alexandria via LeMat-Bulk.

Cell lengths 6.7137, 6.7137, 6.7137 Å; angles 145.90, 112.29, 78.03 degrees
Closest atoms and distances in Å follow each position.
Fractional positions:
Te: 0.7500 0.2500 0.5000  4 Br 2.80
Br: 0.9411 0.9411 0.0000  2 Te 2.80
Br: 0.5589 0.5589 0.0000  2 Te 2.80
Hg: 0.2500 0.7500 0.5000  4 Br 3.78, 2 Hg 3.94, 4 Te 4.23

V ... 154 Å³/cell
Energy relative to the elements, uncorrected ... -0.097 eV/atom


Record 3
First-principles (GGA-PBE) data for BaRh2F after structural relaxation, as listed in Alexandria via LeMat-Bulk.

Cell lengths 4.7441, 4.7441, 4.7441 Å; angles 60.00, 60.00, 60.00 degrees
Closest atoms and distances in Å follow each position.
Fractional positions:
F: 0.0000 0.0000 0.0000  8 Rh 2.91
Rh: 0.2500 0.2500 0.2500  4 Ba 2.91, 4 F 2.91
Ba: 0.5000 0.5000 0.5000  8 Rh 2.91
Rh: 0.7500 0.7500 0.7500  4 F 2.91, 4 Ba 2.91

V ... 75 Å³/cell
Energy relative to the elements, uncorrected ... 0.203 eV/atom


Record 4
First-principles (GGA-PBE) data for TaInAg after structural relaxation, as listed in Alexandria via LeMat-Bulk.

Cell lengths 4.5033, 4.5033, 4.5033 Å; angles 60.00, 60.00, 60.00 degrees
Closest atoms and distances in Å follow each position.
Fractional positions:
Ag: 0.7500 0.7500 0.7500  4 Ta 2.76, 4 In 2.76
In: 0.0000 0.0000 0.0000  4 Ag 2.76
Ta: 0.5000 0.5000 0.5000  4 Ag 2.76

Formation energy ... 0.726 eV per atom
V ... 65 Å³/cell


Record 5
First-principles (GGA-PBE) data for SrZnIr3 after structural relaxation, as listed in Alexandria via LeMat-Bulk.

Cell lengths 4.6758, 4.6758, 4.6758 Å; angles 90.00, 90.00, 90.00 degrees
Closest atoms and distances in Å follow each position.
Fractional positions:
Ir: 0.0000 0.0000 0.5000  2 Zn 2.34
Zn: 0.0000 0.0000 0.0000  6 Ir 2.34
Ir: 0.0000 0.5000 0.0000  2 Zn 2.34
Ir: 0.5000 0.0000 0.0000  2 Zn 2.34
Sr: 0.5000 0.5000 0.5000  12 Ir 3.31

Formation energy ... 0.802 eV per atom
V ... 102 Å³/cell


Record 6
First-principles (GGA-PBE) data for PmMgZn after structural relaxation, as listed in Alexandria via LeMat-Bulk.

Cell lengths 3.4134, 4.8457, 13.2282 Å; angles 90.13, 74.99, 45.09 degrees
Closest atoms and distances in Å follow each position.
Fractional positions:
Mg: 0.0279 0.1564 0.2975  8 Mg 3.13-3.43, 4 Pm 3.45-3.46
Pm: 0.6253 0.8581 0.4981  5 Zn 3.14-3.37, 4 Pm 3.41-3.43, 4 Mg 3.45-3.46
Pm: 0.7539 0.7929 0.9351  5 Zn 3.14-3.37, 4 Pm 3.41-3.43, 4 Mg 3.45-3.46
Zn: 0.2992 0.5205 0.6609  4 Zn 2.77-2.79
Zn: 0.0797 0.1305 0.7723  4 Zn 2.77-2.79
Mg: 0.3519 0.4941 0.1358  8 Mg 3.13-3.43, 4 Pm 3.45-3.46

Formation energy ... -0.122 eV per atom
V ... 144 Å³/cell


no.,E (eV/atom)
1,-6.404
2,-1.794
3,-4.421
4,-5.088
5,-5.106
6,-2.662